1.
Ba2CeYO5: relaxed, PBE.

Lattice parameters (Å, degrees): 7.7182 7.7182 11.8953 90.00 90.00 152.24
With the nearest neighbours (Å) after each atom.
Element x y z (fractional)
Ba 0.1084 0.8916 0.5000  3 O 2.58-2.72
Ba 0.1407 0.8593 0.0835  6 O 2.75-2.89
Ba 0.8593 0.1407 0.5835  6 O 2.75-2.89
Ba 0.8916 0.1084 0.0000  3 O 2.58-2.72
Ce 0.4744 0.5256 0.2687  4 O 2.20-2.31
Ce 0.5256 0.4744 0.7687  4 O 2.20-2.31
Y 0.2253 0.7747 0.8160  6 O 2.25-2.40
Y 0.7747 0.2253 0.3160  6 O 2.25-2.40
O 0.0717 0.9283 0.8584  2 Ce 2.25, 1 Y 2.36
O 0.2745 0.7255 0.4442  2 Y 2.40, 1 Ba 2.58
O 0.3101 0.6899 0.1997  2 Y 2.37, 1 Ce 2.60
O 0.3751 0.6249 0.8125  1 Y 2.25, 1 Ce 2.31
O 0.4950 0.5050 0.5880  1 Ce 2.20
O 0.5050 0.4950 0.0880  1 Ce 2.20
O 0.6249 0.3751 0.3125  1 Y 2.25, 1 Ce 2.31
O 0.6899 0.3101 0.6997  2 Y 2.37, 1 Ce 2.60
O 0.7255 0.2745 0.9442  2 Y 2.40, 1 Ba 2.58
O 0.9283 0.0717 0.3584  2 Ce 2.25, 1 Y 2.36

Results
SG	Cmc2_1 (36)
V	330	Å³ per cell
E	-7.514	eV/atom
ρ	5.87	Mg/m³

2.
Ba3CeZn2O9: relaxed, PBE.

Lattice parameters (Å, degrees): 5.9250 5.9250 7.3206 90.00 90.00 120.00
With the nearest neighbours (Å) after each atom.
Element x y z (fractional)
Ba 0.0000 0.0000 0.0000  12 O 2.95-2.96
Ba 0.3333 0.6667 0.6858  12 O 2.87-3.13
Ba 0.6667 0.3333 0.3142  12 O 2.87-3.13
Ce 0.0000 0.0000 0.5000  6 O 2.17
Zn 0.3333 0.6667 0.1645  6 O 2.04-2.09
Zn 0.6667 0.3333 0.8355  6 O 2.04-2.09
O 0.0000 0.5000 0.0000  2 Zn 2.09
O 0.1707 0.3415 0.3244  1 Zn 2.04, 1 Ce 2.17
O 0.1707 0.8293 0.3244  1 Zn 2.04, 1 Ce 2.17
O 0.3415 0.1707 0.6756  1 Zn 2.04, 1 Ce 2.17
O 0.5000 0.0000 0.0000  2 Zn 2.09
O 0.5000 0.5000 0.0000  2 Zn 2.09
O 0.6585 0.8293 0.3244  1 Zn 2.04, 1 Ce 2.17
O 0.8293 0.1707 0.6756  1 Zn 2.04, 1 Ce 2.17
O 0.8293 0.6585 0.6756  1 Zn 2.04, 1 Ce 2.17

Results
SG	P-3m1 (164)
V	223	Å³ per cell
E	-5.908	eV/atom
ρ	6.17	Mg/m³